No. 1
# FeSiW

An optimized crystal structure of FeSiW (PBE, Alexandria via LeMat-Bulk).

a b c (Å): 5.711 5.711 5.711
angles (deg): 90.00 90.00 90.00
Positions (direct):
Fe 0.000 0.000 0.000
Fe 0.000 0.500 0.500
Fe 0.500 0.000 0.500
Fe 0.500 0.500 0.000
Si 0.000 0.000 0.500
Si 0.000 0.500 0.000
Si 0.500 0.000 0.000
Si 0.500 0.500 0.500
W 0.250 0.250 0.250
W 0.250 0.750 0.750
W 0.750 0.250 0.750
W 0.750 0.750 0.250

Output
Theoretical density   9.5 g/cm3
VASP energy   -8.54 eV per atom
Space group   F-43m, No. 216
Offset from the most stable computed form   0.716 eV/atom
ΔE_f (raw)   0.41 eV/atom

***

No. 2
# MgIn3As

An optimized crystal structure of MgIn3As (PBE, Alexandria via LeMat-Bulk).

a b c (Å): 5.372 5.372 5.372
angles (deg): 90.00 90.00 90.00
Positions (direct):
Mg 0.000 0.000 0.000
In 0.000 0.000 0.500
In 0.000 0.500 0.000
In 0.500 0.000 0.000
As 0.500 0.500 0.500

Output
Theoretical density   4.8 g/cm3
Energy of formation from the pure elements   0.552 eV per atom
VASP energy   -2.34 eV per atom
Space group   Pm-3m, No. 221
Offset from the most stable computed form   0.214 eV/atom

***

No. 3
# LiEuSbAu

An optimized crystal structure of LiEuSbAu (PBE, Alexandria via LeMat-Bulk).

a b c (Å): 7.268 7.268 7.268
angles (deg): 90.00 90.00 90.00
Positions (direct):
Li 0.000 0.000 0.000
Li 0.000 0.500 0.500
Li 0.500 0.000 0.500
Li 0.500 0.500 0.000
Eu 0.000 0.000 0.500
Eu 0.000 0.500 0.000
Eu 0.500 0.000 0.000
Eu 0.500 0.500 0.500
Sb 0.250 0.250 0.750
Sb 0.250 0.750 0.250
Sb 0.750 0.250 0.250
Sb 0.750 0.750 0.750
Au 0.250 0.250 0.250
Au 0.250 0.750 0.750
Au 0.750 0.250 0.750
Au 0.750 0.750 0.250

Output
Theoretical density   8.3 g/cm3
VASP energy   -5.57 eV per atom
Space group   F-43m, No. 216
ΔE_f (raw)   -0.67 eV/atom

***

No. 4
# Li3ZnAg5

An optimized crystal structure of Li3ZnAg5 (PBE, Alexandria via LeMat-Bulk).

a b c (Å): 7.776 7.776 7.776
angles (deg): 125.00 125.00 81.54
Positions (direct):
Li 0.107 0.607 0.714
Li 0.250 0.250 0.000
Li 0.393 0.107 0.500
Li 0.607 0.893 0.500
Li 0.750 0.750 0.000
Li 0.893 0.393 0.286
Zn 0.250 0.750 0.500
Zn 0.750 0.250 0.500
Ag 0.000 0.000 0.000
Ag 0.078 0.158 0.500
Ag 0.158 0.658 0.080
Ag 0.342 0.422 0.500
Ag 0.422 0.922 0.080
Ag 0.500 0.500 0.000
Ag 0.578 0.078 0.920
Ag 0.658 0.578 0.500
Ag 0.842 0.342 0.920
Ag 0.922 0.842 0.500

Output
Theoretical density   6.8 g/cm3
Energy of formation from the pure elements   -0.036 eV per atom
VASP energy   -2.40 eV per atom
Space group   I4/mcm, No. 140
Offset from the most stable computed form   0.123 eV/atom

***

No. 5
# SrY2Sb

An optimized crystal structure of SrY2Sb (PBE, Alexandria via LeMat-Bulk).

a b c (Å): 6.983 10.408 3.524
angles (deg): 90.00 90.00 90.00
Positions (direct):
Sr 0.000 0.000 0.000
Sr 0.500 0.500 0.000
Y 0.250 0.250 0.500
Y 0.250 0.750 0.500
Y 0.750 0.250 0.500
Y 0.750 0.750 0.500
Sb 0.000 0.500 0.000
Sb 0.500 0.000 0.000

Output
Theoretical density   5.0 g/cm3
VASP energy   -4.81 eV per atom
Space group   Cmmm, No. 65
ΔE_f (raw)   -0.13 eV/atom

***

No. 6
# Ba6Y2Al4O15

An optimized crystal structure of Ba6Y2Al4O15 (PBE, Alexandria via LeMat-Bulk).

a b c (Å): 7.938 5.969 18.554
angles (deg): 90.00 91.60 90.00
Positions (direct):
Ba 0.000 0.177 0.250
Ba 0.000 0.823 0.750
Ba 0.001 0.256 0.917
Ba 0.001 0.744 0.417
Ba 0.470 0.248 0.910
Ba 0.470 0.752 0.410
Ba 0.500 0.230 0.250
Ba 0.500 0.770 0.750
Ba 0.530 0.248 0.590
Ba 0.530 0.752 0.090
Ba 0.999 0.256 0.583
Ba 0.999 0.744 0.083
Y 0.252 0.249 0.089
Y 0.252 0.751 0.589
Y 0.748 0.249 0.411
Y 0.748 0.751 0.911
Al 0.252 0.247 0.444
Al 0.252 0.753 0.944
Al 0.279 0.267 0.732
Al 0.279 0.733 0.232
Al 0.721 0.267 0.768
Al 0.721 0.733 0.268
Al 0.748 0.247 0.056
Al 0.748 0.753 0.556
O 0.040 0.255 0.408
O 0.040 0.745 0.908
O 0.191 0.180 0.812
O 0.191 0.820 0.312
O 0.230 0.475 0.188
O 0.230 0.525 0.688
O 0.255 0.047 0.666
O 0.255 0.953 0.166
O 0.264 0.003 0.998
O 0.264 0.482 0.505
O 0.264 0.518 0.005
O 0.264 0.997 0.498
O 0.443 0.262 0.394
O 0.443 0.738 0.894
O 0.500 0.290 0.750
O 0.500 0.710 0.250
O 0.557 0.262 0.106
O 0.557 0.738 0.606
O 0.736 0.003 0.502
O 0.736 0.482 0.995
O 0.736 0.518 0.495
O 0.736 0.997 0.002
O 0.745 0.047 0.834
O 0.745 0.953 0.334
O 0.770 0.475 0.312
O 0.770 0.525 0.812
O 0.809 0.180 0.688
O 0.809 0.820 0.188
O 0.960 0.255 0.092
O 0.960 0.745 0.592

Output
Theoretical density   5.1 g/cm3
VASP energy   -7.23 eV per atom
Space group   P2/c, No. 13
ΔE_f (raw)   -3.02 eV/atom

***

No. 7
# NbTl3Hg

An optimized crystal structure of NbTl3Hg (PBE, Alexandria via LeMat-Bulk).

a b c (Å): 5.641 5.641 5.641
angles (deg): 90.00 90.00 90.00
Positions (direct):
Nb 0.000 0.000 0.000
Tl 0.000 0.500 0.500
Tl 0.500 0.000 0.500
Tl 0.500 0.500 0.000
Hg 0.500 0.500 0.500

Output
Theoretical density   8.4 g/cm3
Energy of formation from the pure elements   1.178 eV per atom
VASP energy   -2.32 eV per atom
Space group   Pm-3m, No. 221
Offset from the most stable computed form   0.608 eV/atom

***

No. 8
# Cs3Sm2DyTe6

An optimized crystal structure of Cs3Sm2DyTe6 (PBE, Alexandria via LeMat-Bulk).

a b c (Å): 7.977 7.977 9.320
angles (deg): 98.20 98.20 120.00
Positions (direct):
Cs 0.000 0.000 0.000
Cs 0.332 0.668 0.000
Cs 0.668 0.332 0.000
Sm 0.166 0.834 0.500
Sm 0.834 0.166 0.500
Dy 0.500 0.500 0.500
Te 0.107 0.436 0.308
Te 0.236 0.236 0.692
Te 0.436 0.107 0.308
Te 0.564 0.893 0.692
Te 0.764 0.764 0.308
Te 0.893 0.564 0.692

Output
Theoretical density   5.5 g/cm3
VASP energy   -4.35 eV per atom
Space group   C2/m, No. 12
ΔE_f (raw)   -1.40 eV/atom

***

No. 9
# TmWC

An optimized crystal structure of TmWC (PBE, Alexandria via LeMat-Bulk).

a b c (Å): 3.194 3.194 10.613
angles (deg): 90.00 90.00 120.00
Positions (direct):
Tm 0.333 0.667 0.000
Tm 0.667 0.333 0.500
W 0.000 0.000 0.253
W 0.000 0.000 0.753
C 0.333 0.667 0.354
C 0.667 0.333 0.854

Output
Theoretical density   12.9 g/cm3
Energy of formation from the pure elements   -0.048 eV per atom
VASP energy   -8.93 eV per atom
Space group   P6_3mc, No. 186
Offset from the most stable computed form   0.000 eV/atom

***

No. 10
# ZrAl2AsPt

An optimized crystal structure of ZrAl2AsPt (PBE, Alexandria via LeMat-Bulk).

a b c (Å): 5.184 5.184 4.983
angles (deg): 90.00 90.00 90.00
Positions (direct):
Zr 0.000 0.000 0.000
Al 0.000 0.500 0.000
Al 0.500 0.000 0.000
As 0.000 0.000 0.500
Pt 0.500 0.500 0.500

Output
Theoretical density   5.1 g/cm3
Energy of formation from the pure elements   1.009 eV per atom
VASP energy   -4.34 eV per atom
Space group   P4/mmm, No. 123

***

No. 11
# Fe2HgAu

An optimized crystal structure of Fe2HgAu (PBE, Alexandria via LeMat-Bulk).

a b c (Å): 3.999 3.999 7.903
angles (deg): 90.00 90.00 90.00
Positions (direct):
Fe 0.000 0.000 0.000
Fe 0.000 0.500 0.250
Fe 0.500 0.000 0.750
Fe 0.500 0.500 0.500
Hg 0.000 0.500 0.750
Hg 0.500 0.000 0.250
Au 0.000 0.000 0.500
Au 0.500 0.500 0.000

Output
Theoretical density   13.4 g/cm3
Energy of formation from the pure elements   0.327 eV per atom
VASP energy   -4.80 eV per atom
Space group   I-4m2, No. 119

***

No. 12
# RbLaCuF6

An optimized crystal structure of RbLaCuF6 (PBE, Alexandria via LeMat-Bulk).

a b c (Å): 7.532 7.532 7.532
angles (deg): 117.35 117.21 94.78
Positions (direct):
Rb 0.422 0.172 0.250
Rb 0.578 0.828 0.750
La 0.000 0.000 0.500
La 0.000 0.500 0.000
Cu 0.000 0.500 0.500
Cu 0.500 0.500 0.000
F 0.133 0.883 0.250
F 0.140 0.390 0.750
F 0.154 0.451 0.340
F 0.154 0.813 0.702
F 0.389 0.187 0.840
F 0.389 0.549 0.202
F 0.611 0.451 0.798
F 0.611 0.813 0.160
F 0.846 0.187 0.298
F 0.846 0.549 0.660
F 0.860 0.610 0.250
F 0.867 0.117 0.750

Output
Theoretical density   4.3 g/cm3
VASP energy   -5.31 eV per atom
Space group   Imma, No. 74
ΔE_f (raw)   -2.96 eV/atom

***

> Which value of VASP energy does entry 7 give?

-2.32 eV per atom

***

> Which formula does entry 2 have?

MgIn3As

***

> Look up the theoretical density of the eighth one.

5.5 g/cm3